(1)
PBE-GGA CePmYPa, relaxed; magnetization = 4.3 μB per formula unit; calculated formation energy = 0.392 eV per atom
1.0
5.5721 0.0000 0.0000
2.7860 4.8256 0.0000
2.7860 1.6085 4.5496
Pm Y Pa Ce
1 1 1 1
direct
0.0000 0.0000 0.0000
0.2500 0.2500 0.2500
0.7500 0.7500 0.7500
0.5000 0.5000 0.5000

(2)
PBE-GGA PSe2Br, relaxed; magnetization = 0.0 μB per formula unit; polymorph energy (0 for the lowest one) = 14.0 kJ/mol of atoms; formation energy without anion corrections = 0.126 eV per atom
1.0
1.8317 5.6341 0.0147
-1.8317 5.6341 0.0147
0.0000 0.7825 5.5037
Br P Se
1 1 2
direct
0.4072 0.4072 0.5550
0.7546 0.7546 0.8720
0.2371 0.2371 0.1916
0.1011 0.1011 0.8814

(3)
PBE-GGA ReC2, relaxed; magnetization = 0.0 μB per formula unit; polymorph energy (0 for the lowest one) = 118.3 kJ/mol of atoms; calculated formation energy = 1.666 eV per atom
1.0
1.4137 -5.4091 0.0000
1.4137 5.4091 0.0000
0.0000 0.0000 3.4858
Re C
2 4
direct
0.8843 0.1157 0.2500
0.1157 0.8843 0.7500
0.7667 0.2333 0.7500
0.5593 0.4407 0.2500
0.4407 0.5593 0.7500
0.2333 0.7667 0.2500

(4)
PBE-GGA DyCdIn2, relaxed; magnetization = 0.0 μB per formula unit; polymorph energy (0 for the lowest one) = 20.1 kJ/mol of atoms; calculated formation energy = -0.177 eV per atom
1.0
-3.5753 -1.9337 3.2841
1.0323 -4.3354 2.7287
0.7692 0.2821 5.1610
In Cd Dy
2 1 1
direct
0.7500 0.7500 0.7500
0.2500 0.2500 0.2500
0.0000 0.0000 0.0000
0.5000 0.5000 0.5000

(5)
PBE-GGA Ho2ScU2Ru5, relaxed; magnetization = 0.0 μB per formula unit; calculated formation energy = -0.292 eV per atom
1.0
3.4897 0.0000 0.0000
0.0000 10.5355 0.0000
0.0000 0.0000 10.5355
Ru U Sc Ho
10 4 2 4
direct
0.5000 0.9476 0.2053
0.5000 0.5524 0.7053
0.5000 0.2053 0.0524
0.5000 0.7947 0.9476
0.5000 0.5000 0.0000
0.5000 0.2947 0.5524
0.5000 0.4476 0.2947
0.5000 0.0524 0.7947
0.5000 0.7053 0.4476
0.5000 0.0000 0.5000
0.0000 0.1398 0.6398
0.0000 0.6398 0.8602
0.0000 0.3602 0.1398
0.0000 0.8602 0.3602
0.0000 0.5000 0.5000
0.0000 0.0000 0.0000
0.0000 0.8283 0.6717
0.0000 0.3283 0.8283
0.0000 0.6717 0.1717
0.0000 0.1717 0.3283

(6)
PBE-GGA ZrRh, relaxed; magnetization = 0.0 μB per formula unit; calculated formation energy = 0.426 eV per atom
1.0
7.9126 0.0000 0.0000
0.0000 7.9126 0.0000
0.0000 0.0000 7.9126
Zr Rh
8 8
direct
0.8077 0.8077 0.1923
0.3077 0.3077 0.6923
0.6923 0.6923 0.6923
0.3077 0.6923 0.3077
0.8077 0.1923 0.8077
0.1923 0.8077 0.8077
0.1923 0.1923 0.1923
0.6923 0.3077 0.3077
0.1274 0.1274 0.8726
0.6274 0.3726 0.6274
0.3726 0.6274 0.6274
0.1274 0.8726 0.1274
0.6274 0.6274 0.3726
0.8726 0.8726 0.8726
0.3726 0.3726 0.3726
0.8726 0.1274 0.1274

(7)
PBE-GGA SiP2SeCl, relaxed; magnetization = 0.0 μB per formula unit; polymorph energy (0 for the lowest one) = 0.0 kJ/mol of atoms; formation energy without anion corrections = 0.578 eV per atom
1.0
-2.7614 -3.6756 0.8574
3.2306 -1.7525 2.8919
-1.8421 2.1709 3.3735
Cl P Se Si
1 2 1 1
direct
0.0000 0.0000 0.5000
0.0000 0.5000 0.0000
0.5000 0.0000 0.0000
0.5000 0.5000 0.5000
0.0000 0.0000 0.0000

(8)
PBE-GGA Zn5Te4, relaxed; magnetization = 0.0 μB per formula unit; polymorph energy (0 for the lowest one) = 0.0 kJ/mol of atoms; formation energy without anion corrections = -0.036 eV per atom
1.0
8.0911 0.0000 0.0000
-4.0456 7.0071 0.0000
0.0000 0.0000 7.8358
Te Zn
8 10
direct
0.4305 0.0000 0.2500
0.4305 0.4305 0.7500
0.5695 0.0000 0.7500
0.0000 0.0000 0.0000
0.5695 0.5695 0.2500
0.0000 0.4305 0.2500
0.0000 0.0000 0.5000
0.0000 0.5695 0.7500
0.0000 0.7537 0.2500
0.0000 0.2463 0.7500
0.6667 0.3333 0.0000
0.3333 0.6667 0.0000
0.3333 0.6667 0.5000
0.7537 0.7537 0.7500
0.7537 0.0000 0.2500
0.2463 0.0000 0.7500
0.2463 0.2463 0.2500
0.6667 0.3333 0.5000

(9)
PBE-GGA CoWBr, relaxed; magnetization = 0.0 μB per formula unit; polymorph energy (0 for the lowest one) = 51.2 kJ/mol of atoms; formation energy without anion corrections = 1.194 eV per atom
1.0
4.2044 0.0000 0.0000
2.1022 3.6411 0.0000
2.1022 1.2137 3.4329
Co W Br
1 1 1
direct
0.5000 0.5000 0.5000
0.2500 0.2500 0.2500
0.0000 0.0000 0.0000

(10)
PBE-GGA Ba6ZnAu2, relaxed; magnetization = 0.0 μB per formula unit; calculated formation energy = -0.370 eV per atom
1.0
5.6014 0.0000 1.5835
2.6627 7.5241 1.2799
0.4241 -0.5826 9.1988
Au Zn Ba
2 1 6
direct
0.3383 0.4999 0.8236
0.6617 0.5001 0.1764
0.0000 0.5000 0.5000
0.9567 0.2488 0.8378
0.2942 0.2490 0.1627
0.7058 0.7510 0.8373
0.3716 0.7570 0.4998
0.6284 0.2430 0.5002
0.0433 0.7512 0.1622

(11)
PBE-GGA Cs2Rb2PuO6, relaxed; magnetization = 0.0 μB per formula unit; formation energy without anion corrections = -1.892 eV per atom
1.0
6.6988 0.2027 0.0982
-3.1348 5.9236 0.0982
-1.2483 -2.1456 6.5803
Rb O Pu Cs
2 6 1 2
direct
0.3438 0.6562 0.5000
0.6562 0.3438 0.5000
0.0447 0.2942 0.6684
0.2942 0.0447 0.6684
0.8319 0.8319 0.6810
0.1681 0.1681 0.3190
0.7058 0.9553 0.3316
0.9553 0.7058 0.3316
0.0000 0.0000 0.5000
0.8238 0.1762 0.0000
0.1762 0.8238 0.0000

(12)
PBE-GGA V2Fe3Pt3, relaxed; magnetization = 3.6 μB per formula unit; calculated formation energy = -0.378 eV per atom
1.0
3.7671 0.0000 0.0000
0.0000 3.8158 0.0000
0.0000 0.0000 7.5128
Fe V Pt
3 2 3
direct
0.0000 0.5000 0.5000
0.0000 0.5000 0.0000
0.5000 0.0000 0.5000
0.0000 0.0000 0.7319
0.0000 0.0000 0.2681
0.5000 0.5000 0.2576
0.5000 0.5000 0.7424
0.5000 0.0000 0.0000

(13)
PBE-GGA Pr2DyPuSe5, relaxed; magnetization = 6.5 μB per formula unit; formation energy without anion corrections = -1.238 eV per atom
1.0
5.1039 0.0000 0.0000
0.0000 5.1039 0.0000
0.0000 0.0000 10.9404
Se Pr Pu Dy
5 2 1 1
direct
0.0000 0.0000 0.7514
0.5000 0.0000 0.5000
0.5000 0.5000 0.0000
0.0000 0.0000 0.2486
0.0000 0.5000 0.5000
0.5000 0.5000 0.7118
0.5000 0.5000 0.2882
0.0000 0.0000 0.0000
0.0000 0.0000 0.5000

(14)
PBE-GGA ScGeSeS, relaxed; magnetization = 0.0 μB per formula unit; polymorph energy (0 for the lowest one) = 12.0 kJ/mol of atoms; formation energy without anion corrections = -0.833 eV per atom
1.0
3.4280 0.0000 0.0000
0.0000 3.3410 0.0000
0.0000 0.0000 7.2058
Sc S Se Ge
1 1 1 1
direct
0.0000 0.5000 0.9924
0.5000 0.0000 0.1833
0.5000 0.0000 0.7709
0.0000 0.0000 0.4667

(15)
PBE-GGA CsBeAs, relaxed; magnetization = 0.0 μB per formula unit; calculated formation energy = -0.352 eV per atom
1.0
-2.2074 -2.1942 -2.4018
7.8043 -8.1500 0.2729
-5.0776 -4.5663 8.8386
Be Cs As
4 4 4
direct
0.2500 0.4650 0.9604
0.7500 0.9650 0.5396
0.7500 0.5350 0.0396
0.2500 0.0350 0.4604
0.2500 0.2768 0.2023
0.2500 0.2232 0.7023
0.7500 0.7232 0.7977
0.7500 0.7768 0.2977
0.7500 0.3794 0.9138
0.2500 0.8794 0.5862
0.7500 0.1206 0.4138
0.2500 0.6206 0.0862

(16)
PBE-GGA KBa4Mo, relaxed; magnetization = 3.8 μB per formula unit; calculated formation energy = 0.990 eV per atom
1.0
0.0000 5.5029 5.5029
5.5029 0.0000 5.5029
5.5029 5.5029 0.0000
Ba K Mo
4 1 1
direct
0.8786 0.3738 0.3738
0.3738 0.3738 0.8786
0.3738 0.8786 0.3738
0.3738 0.3738 0.3738
0.7500 0.7500 0.7500
0.0000 0.0000 0.0000

(17)
PBE-GGA SbAu5, relaxed; magnetization = 0.0 μB per formula unit; formation energy without anion corrections = 0.044 eV per atom
1.0
-0.1651 1.9972 -7.3654
-1.1522 -4.5568 6.0145
-4.4511 1.9578 0.6307
Au Sb
5 1
direct
0.4448 0.5552 0.5000
0.7851 0.2149 0.5000
0.9934 0.0066 0.0000
0.3304 0.6696 0.0000
0.6651 0.3349 0.0000
0.1145 0.8855 0.5000

(18)
PBE-GGA ThCoCuGe2, relaxed; magnetization = 0.7 μB per formula unit; calculated formation energy = -0.517 eV per atom
1.0
-0.4186 -0.0029 -4.1479
1.5965 -3.8480 -0.1584
-5.1780 0.0024 2.6176
Ge Th Cu Co
2 1 1 1
direct
0.3708 0.3708 0.7417
0.6292 0.6292 0.2583
0.0000 0.0000 0.0000
0.2500 0.7500 0.5000
0.7500 0.2500 0.5000

(19)
PBE-GGA Nd12Cd6Au, relaxed; magnetization = 0.0 μB per formula unit; calculated formation energy = -0.158 eV per atom
1.0
8.2043 0.6605 0.7913
-0.5909 8.2096 0.7913
-0.5909 -0.6885 8.2188
Nd Au Cd
12 1 6
direct
0.6356 0.9788 0.8571
0.4716 0.5540 0.1944
0.4460 0.8056 0.5284
0.8571 0.6356 0.9788
0.3644 0.0212 0.1429
0.9788 0.8571 0.6356
0.0212 0.1429 0.3644
0.1944 0.4716 0.5540
0.1429 0.3644 0.0212
0.5540 0.1944 0.4716
0.5284 0.4460 0.8056
0.8056 0.5284 0.4460
0.0000 0.0000 0.0000
0.2635 0.1095 0.7385
0.2615 0.7365 0.8905
0.7385 0.2635 0.1095
0.7365 0.8905 0.2615
0.8905 0.2615 0.7365
0.1095 0.7385 0.2635

(20)
PBE-GGA TaTe4Ir, relaxed; magnetization = 0.0 μB per formula unit; polymorph energy (0 for the lowest one) = 0.0 kJ/mol of atoms; formation energy without anion corrections = -0.363 eV per atom
1.0
-0.7458 3.3928 -1.5615
4.8978 -3.9511 -10.9244
-12.7127 -4.6446 -4.0197
Te Ir Ta
16 4 4
direct
0.0000 0.5651 0.4017
0.0000 0.8486 0.1016
0.5000 0.4349 0.9017
0.5000 0.6543 0.5907
0.0000 0.1928 0.8623
0.0000 0.0662 0.3942
0.5000 0.5873 0.1303
0.0000 0.8936 0.6403
0.5000 0.9338 0.8942
0.5000 0.8072 0.3623
0.5000 0.1064 0.1403
0.0000 0.3457 0.0907
0.0000 0.4127 0.6303
0.5000 0.3238 0.3547
0.0000 0.6762 0.8547
0.5000 0.1514 0.6016
0.5000 0.2449 0.9929
0.5000 0.4646 0.4997
0.0000 0.7551 0.4929
0.0000 0.5354 0.9997
0.5000 0.7300 0.9904
0.5000 0.9471 0.5044
0.0000 0.2700 0.4904
0.0000 0.0529 0.0044